No. 1
Crystalline NaNdPu at its relaxed geometry, computed with GGA-PBE.

Properties
space group = F-43m, No. 216

Unit cell a=5.362 b=5.362 c=5.362 alpha=60.00 beta=60.00 gamma=60.00
Positions (direct):
Na 0.000 0.000 0.000
Nd 0.750 0.750 0.750
Pu 0.250 0.250 0.250

No. 2
Crystalline NdInPt at its relaxed geometry, computed with GGA-PBE.

Properties
space group = P-62m, No. 189

Unit cell a=8.380 b=8.380 c=3.369 alpha=90.00 beta=90.00 gamma=120.00
Positions (direct):
Nd 0.000 0.301 0.000
Nd 0.301 0.000 0.000
Nd 0.699 0.699 0.000
In 0.000 0.000 0.500
In 0.333 0.667 0.000
In 0.667 0.333 0.000
Pt 0.000 0.640 0.500
Pt 0.360 0.360 0.500
Pt 0.640 0.000 0.500

No. 3
Crystalline ScTaAl at its relaxed geometry, computed with GGA-PBE.

Properties
space group = F-43m, No. 216

Unit cell a=4.605 b=4.605 c=4.605 alpha=60.00 beta=60.00 gamma=60.00
Positions (direct):
Sc 0.000 0.000 0.000
Ta 0.750 0.750 0.750
Al 0.500 0.500 0.500

No. 4
Crystalline KNdSnS3 at its relaxed geometry, computed with GGA-PBE.

Properties
space group = Pnma, No. 62

Unit cell a=14.742 b=4.118 c=12.294 alpha=90.00 beta=90.00 gamma=90.00
Positions (direct):
K 0.236 0.250 0.112
K 0.264 0.750 0.612
K 0.736 0.250 0.388
K 0.764 0.750 0.888
Nd 0.005 0.250 0.355
Nd 0.495 0.750 0.855
Nd 0.505 0.250 0.145
Nd 0.995 0.750 0.645
Sn 0.046 0.250 0.906
Sn 0.454 0.750 0.406
Sn 0.546 0.250 0.594
Sn 0.954 0.750 0.094
S 0.089 0.750 0.224
S 0.101 0.250 0.551
S 0.130 0.750 0.818
S 0.370 0.250 0.318
S 0.399 0.750 0.051
S 0.411 0.250 0.724
S 0.589 0.750 0.276
S 0.601 0.250 0.949
S 0.630 0.750 0.682
S 0.870 0.250 0.182
S 0.899 0.750 0.449
S 0.911 0.250 0.776

No. 5
Crystalline NaPaPd at its relaxed geometry, computed with GGA-PBE.

Properties
space group = F-43m, No. 216

Unit cell a=4.757 b=4.757 c=4.757 alpha=60.00 beta=60.00 gamma=60.00
Positions (direct):
Na 0.000 0.000 0.000
Pa 0.500 0.500 0.500
Pd 0.250 0.250 0.250

No. 6
Crystalline Li4Zn2NiIr at its relaxed geometry, computed with GGA-PBE.

Properties
space group = P-4m2, No. 115

Unit cell a=4.167 b=4.167 c=5.926 alpha=90.00 beta=90.00 gamma=90.00
Positions (direct):
Li 0.000 0.000 0.000
Li 0.000 0.500 0.245
Li 0.500 0.000 0.755
Li 0.500 0.500 0.500
Zn 0.000 0.500 0.755
Zn 0.500 0.000 0.245
Ni 0.500 0.500 0.000
Ir 0.000 0.000 0.500

No. 7
Crystalline PrCoGe at its relaxed geometry, computed with GGA-PBE.

Properties
space group = F-43m, No. 216

Unit cell a=4.466 b=4.466 c=4.466 alpha=60.00 beta=60.00 gamma=60.00
Positions (direct):
Pr 0.000 0.000 0.000
Co 0.750 0.750 0.750
Ge 0.500 0.500 0.500

No. 8
Crystalline CuSnW4N2 at its relaxed geometry, computed with GGA-PBE.

Properties
space group = P-6m2, No. 187

Unit cell a=2.897 b=2.897 c=14.815 alpha=90.00 beta=90.00 gamma=120.00
Positions (direct):
Cu 0.000 0.000 0.000
Sn 0.333 0.667 0.500
W 0.000 0.000 0.337
W 0.000 0.000 0.663
W 0.333 0.667 0.146
W 0.333 0.667 0.854
N 0.667 0.333 0.242
N 0.667 0.333 0.758

No. 9
Crystalline LaHoPb at its relaxed geometry, computed with GGA-PBE.

Properties
space group = F-43m, No. 216

Unit cell a=5.380 b=5.380 c=5.380 alpha=60.00 beta=60.00 gamma=60.00
Positions (direct):
La 0.000 0.000 0.000
Ho 0.750 0.750 0.750
Pb 0.250 0.250 0.250

No. 10
Crystalline LaSn2PtAu at its relaxed geometry, computed with GGA-PBE.

Properties
space group = P2_1/m, No. 11

Unit cell a=4.711 b=4.675 c=10.759 alpha=90.00 beta=90.89 gamma=90.00
Positions (direct):
La 0.234 0.250 0.250
La 0.766 0.750 0.750
Sn 0.254 0.750 0.499
Sn 0.290 0.250 0.863
Sn 0.710 0.750 0.137
Sn 0.746 0.250 0.501
Pt 0.249 0.250 0.621
Pt 0.751 0.750 0.379
Au 0.211 0.750 0.999
Au 0.789 0.250 0.001

No. 11
Crystalline BeTcAu2 at its relaxed geometry, computed with GGA-PBE.

Properties
space group = F-43m, No. 216

Unit cell a=4.434 b=4.434 c=4.434 alpha=60.00 beta=60.00 gamma=60.00
Positions (direct):
Be 0.000 0.000 0.000
Tc 0.250 0.250 0.250
Au 0.500 0.500 0.500
Au 0.750 0.750 0.750

No. 12
Crystalline Sr2AgPt at its relaxed geometry, computed with GGA-PBE.

Properties
space group = Pnma, No. 62

Unit cell a=7.502 b=7.643 c=7.376 alpha=90.00 beta=90.00 gamma=90.00
Positions (direct):
Sr 0.249 0.007 0.249
Sr 0.249 0.493 0.249
Sr 0.251 0.507 0.749
Sr 0.251 0.993 0.749
Sr 0.749 0.007 0.251
Sr 0.749 0.493 0.251
Sr 0.751 0.507 0.751
Sr 0.751 0.993 0.751
Ag 0.000 0.250 0.517
Ag 0.000 0.750 0.483
Ag 0.500 0.250 0.983
Ag 0.500 0.750 0.017
Pt 0.000 0.250 0.986
Pt 0.000 0.750 0.014
Pt 0.500 0.250 0.514
Pt 0.500 0.750 0.486

| no. | ρ (Mg/m³) | calculated total energy (Ha/atom) |
| --- | --- | --- |
| 1 | 6.27 | -0.215 |
| 2 | 11.04 | -0.180 |
| 3 | 6.08 | -0.239 |
| 4 | 3.54 | -0.186 |
| 5 | 7.86 | -0.183 |
| 6 | 6.61 | -0.120 |
| 7 | 7.18 | -0.210 |
| 8 | 14.59 | -0.337 |
| 9 | 7.70 | -0.151 |
| 10 | 10.77 | -0.193 |
| 11 | 13.50 | -0.175 |
| 12 | 7.51 | -0.131 |